[1]
AsRh3 | SCAN | single point on PBEsol structure

Structure (POSCAR):
```
AsRh3
1.0
-0.3923 -1.0238 2.5588
4.9275 0.1942 -0.1764
-2.3660 4.3157 0.3546
Rh As
3 1
direct
0.0000 0.5000 0.5000
0.5000 0.0000 0.5000
0.5000 0.5000 0.0000
0.0000 0.0000 0.0000
```

Final energy = -2.2255 Ry per atom
Size of the total moment = 0.00 μB/cell
Formation energy from the elements = 0.10 eV per atom

---

[2]
BaCuBi2H | SCAN | single point on PBEsol structure

Structure (POSCAR):
```
BaCuBi2H
1.0
4.5744 0.0000 0.0000
0.0000 5.0414 0.0000
0.0000 0.0000 5.0414
H Ba Bi Cu
1 1 2 1
direct
0.0000 0.0000 0.0000
0.5000 0.5000 0.5000
0.0000 0.0000 0.5000
0.0000 0.5000 0.0000
0.5000 0.0000 0.0000
```

Final energy = -3.1535 Ry per atom
Size of the total moment = 0.00 μB/cell

---

[3]
ScNbTe2N | SCAN | single point on PBEsol structure

Structure (POSCAR):
```
ScNbTe2N
1.0
-3.5416 -1.2764 0.4160
1.7680 -3.7151 3.6529
-0.8230 3.6099 4.0698
Te Sc N Nb
2 1 1 1
direct
0.0000 0.0000 0.5000
0.0000 0.5000 0.0000
0.0000 0.0000 0.0000
0.5000 0.0000 0.0000
0.5000 0.5000 0.5000
```

Final energy = -1.9050 Ry per atom
Size of the total moment = 1.22 μB/cell

---

[4]
Fe2RePt | SCAN | single point on PBEsol structure

Structure (POSCAR):
```
Fe2RePt
1.0
2.6413 0.0000 0.0000
0.0000 2.6413 0.0000
0.0000 0.0000 7.3524
Fe Re Pt
2 1 1
direct
0.0000 0.0000 0.7445
0.0000 0.0000 0.2555
0.5000 0.5000 0.5000
0.5000 0.5000 0.0000
```

Final energy = -3.2679 Ry per atom
Size of the total moment = 4.82 μB/cell
Formation energy from the elements = -0.08 eV per atom

---

Q: Look up the size of the total moment of the fourth one.
A: 4.82 μB/cell